[1]
VASP calculation (GGA-PBE) on crystalline MnCr2Pt at its relaxed geometry.

Lattice parameters (Å, degrees): 2.696 2.696 7.184 90.00 90.00 90.00
Space group P4mm (No. 99)
One atom of each set of equivalent atoms:
Mn 0.000 0.000 0.000 (multiplicity 1)
Cr 0.000 0.000 0.538 (multiplicity 1)
Cr 0.500 0.500 0.774 (multiplicity 1)
Pt 0.500 0.500 0.278 (multiplicity 1)

**ΔH_f (0 K)**: 0.029 eV per atom
**Electronic total energy**: -8.585 eV per atom

=====

[2]
VASP calculation (GGA-PBE) on crystalline Tm5ZnTe5 at its relaxed geometry.

Lattice parameters (Å, degrees): 13.600 6.060 8.446 90.00 108.66 90.00
Space group C2/m (No. 12)
One atom of each set of equivalent atoms:
Tm 0.000 0.000 0.000 (multiplicity 2)
Tm 0.158 0.500 0.322 (multiplicity 4)
Tm 0.159 0.500 0.840 (multiplicity 4)
Zn 0.000 0.500 0.000 (multiplicity 2)
Te 0.000 0.500 0.500 (multiplicity 2)
Te 0.164 0.000 0.825 (multiplicity 4)
Te 0.175 0.000 0.336 (multiplicity 4)

**Electronic total energy**: -4.667 eV per atom
**E_form (uncorrected)**: -1091 meV/atom

=====

[3]
VASP calculation (GGA-PBE) on crystalline CeHoScGa at its relaxed geometry.

Lattice parameters (Å, degrees): 7.357 7.357 7.357 90.00 90.00 90.00
Space group F-43m (No. 216)
One atom of each set of equivalent atoms:
Ce 0.000 0.000 0.000 (multiplicity 4)
Ho 0.000 0.000 0.500 (multiplicity 4)
Sc 0.250 0.250 0.750 (multiplicity 4)
Ga 0.250 0.250 0.250 (multiplicity 4)

**ΔH_f (0 K)**: -0.129 eV per atom
**Electronic total energy**: -5.097 eV per atom

=====

[4]
VASP calculation (GGA-PBE) on crystalline BaZnPd2 at its relaxed geometry.

Lattice parameters (Å, degrees): 4.428 7.187 6.072 90.00 90.00 90.00
Space group Pmmn (No. 59, origin choice 2)
One atom of each set of equivalent atoms:
Ba 0.250 0.250 0.135 (multiplicity 2)
Zn 0.250 0.750 0.379 (multiplicity 2)
Pd 0.250 0.055 0.624 (multiplicity 4)

**ΔH_f (0 K)**: -0.555 eV per atom
**Electronic total energy**: -3.950 eV per atom

=====

[5]
VASP calculation (GGA-PBE) on crystalline Rb2MnGeBr6 at its relaxed geometry.

Lattice parameters (Å, degrees): 10.953 10.953 10.953 90.00 90.00 90.00
Space group Fm-3m (No. 225)
One atom of each set of equivalent atoms:
Rb 0.250 0.250 0.250 (multiplicity 8)
Mn 0.000 0.000 0.000 (multiplicity 4)
Ge 0.000 0.000 0.500 (multiplicity 4)
Br 0.000 0.000 0.244 (multiplicity 24)

**Electronic total energy**: -3.681 eV per atom
**E_form (uncorrected)**: -1105 meV/atom

=====

[6]
VASP calculation (GGA-PBE) on crystalline Tm6In5Tc at its relaxed geometry.

Lattice parameters (Å, degrees): 5.198 15.503 7.282 90.00 90.00 90.00
Space group Cmmm (No. 65)
One atom of each set of equivalent atoms:
Tm 0.000 0.000 0.238 (multiplicity 4)
Tm 0.000 0.343 0.239 (multiplicity 8)
In 0.000 0.167 0.000 (multiplicity 4)
In 0.000 0.174 0.500 (multiplicity 4)
In 0.000 0.500 0.500 (multiplicity 2)
Tc 0.000 0.500 0.000 (multiplicity 2)

**ΔH_f (0 K)**: -0.408 eV per atom
**Electronic total energy**: -4.649 eV per atom

=====

Repeat the fifth record exactly.
VASP calculation (GGA-PBE) on crystalline Rb2MnGeBr6 at its relaxed geometry.

Lattice parameters (Å, degrees): 10.953 10.953 10.953 90.00 90.00 90.00
Space group Fm-3m (No. 225)
One atom of each set of equivalent atoms:
Rb 0.250 0.250 0.250 (multiplicity 8)
Mn 0.000 0.000 0.000 (multiplicity 4)
Ge 0.000 0.000 0.500 (multiplicity 4)
Br 0.000 0.000 0.244 (multiplicity 24)

**Electronic total energy**: -3.681 eV per atom
**E_form (uncorrected)**: -1105 meV/atom

=====

The lowest electronic total energy belongs to which entry? MnCr2Pt

=====

Which formula does entry 4 have? BaZnPd2